# MgCo2Tc (PBE, optimized geometry)
# - E_form: 0.254 eV per atom
# - Raw total energy: -6.29 eV/atom
data_MgCo2Tc
_chemical_formula_sum 'Mg2 Co4 Tc2'
_symmetry_space_group_name_H-M 'C 1 2/m 1'
_symmetry_Int_Tables_number 12
_cell_length_a 8.413
_cell_length_b 2.634
_cell_length_c 4.925
_cell_angle_alpha 90.00
_cell_angle_beta 96.61
_cell_angle_gamma 90.00
loop_
_symmetry_equiv_pos_as_xyz
'x,y,z'
'-x,-y,-z'
'-x,y,-z'
'x,-y,z'
'x+1/2,y+1/2,z'
'-x+1/2,-y+1/2,-z'
'-x+1/2,y+1/2,-z'
'x+1/2,-y+1/2,z'
loop_
_atom_site_label
_atom_site_type_symbol
_atom_site_fract_x
_atom_site_fract_y
_atom_site_fract_z
Mg1 Mg 0.000 0.000 0.000
Co1 Co 0.246 0.000 0.714
Tc1 Tc 0.000 0.500 0.500